1.
VASP calculation (GGA-PBE) on crystalline TbEuIr at its relaxed geometry.

Its symmetry is P3m1, No. 156. For the raw total energy, the calculation gives -8.3403 eV/atom. The mass density comes out at 8.93 Mg/m³. The calculation puts the density of states at the Fermi level at 3.390 states/eV per atom. The energy above the most stable polymorph in this dataset is 85 meV per atom.

a = 4.1375 Å, b = 4.1375 Å, c = 6.3074 Å
α = 90.00°, β = 90.00°, γ = 120.00°
Last column: nearest neighbours and their distance in Å.
Element x y z (fractional)
1 Tb 0.0000 0.0000 0.0000  3 Ir 2.74
2 Eu 0.6667 0.3333 0.4745  3 Ir 2.90
3 Ir 0.3333 0.6667 0.2139  3 Tb 2.74, 3 Eu 2.90


2.
VASP calculation (GGA-PBE) on crystalline Hg2SbAsCl at its relaxed geometry.

Its symmetry is P4/mmm, No. 123. Its uncorrected formation energy is 374 meV per atom. For the raw total energy, the calculation gives -1.8701 eV/atom. The mass density comes out at 6.05 Mg/m³. The calculation puts the density of states at the Fermi level at 0.354 states/eV per atom.

a = 5.7371 Å, b = 5.7371 Å, c = 5.2813 Å
α = 90.00°, β = 90.00°, γ = 90.00°
Last column: nearest neighbours and their distance in Å.
Element x y z (fractional)
1 Hg 0.0000 0.5000 0.0000  2 Sb 2.87
2 Hg 0.5000 0.0000 0.0000  2 Sb 2.87
3 Sb 0.0000 0.0000 0.0000  2 Cl 2.64, 4 Hg 2.87
4 As 0.5000 0.5000 0.5000  8 Hg 3.90, 4 Cl 4.06
5 Cl 0.0000 0.0000 0.5000  2 Sb 2.64


3.
VASP calculation (GGA-PBE) on crystalline ZrScMnHg2 at its relaxed geometry.

Its symmetry is P4/mmm, No. 123. For the raw total energy, the calculation gives -4.0774 eV/atom. The mass density comes out at 8.18 Mg/m³. The calculation puts the density of states at the Fermi level at 1.307 states/eV per atom.

a = 5.2223 Å, b = 5.2223 Å, c = 4.4102 Å
α = 90.00°, β = 90.00°, γ = 90.00°
Last column: nearest neighbours and their distance in Å.
Element x y z (fractional)
1 Zr 0.0000 0.0000 0.0000  8 Hg 3.42, 4 Mn 3.69
2 Sc 0.5000 0.5000 0.5000  2 Mn 2.21
3 Mn 0.5000 0.5000 0.0000  2 Sc 2.21
4 Hg 0.0000 0.5000 0.5000  2 Sc 2.61
5 Hg 0.5000 0.0000 0.5000  2 Sc 2.61